1.
## Mg3Zn2Ga (GGA-PBE)

Data for a geometry-optimized Mg3Zn2Ga structure.

The structure in POSCAR format:
```
Mg3Zn2Ga
1.0
3.0460 0.0000 0.0000
0.0000 3.0460 0.0000
0.0000 0.0000 11.9107
Mg Zn Ga
3 2 1
Cartesian
0.0000 0.0000 0.0000
0.0000 0.0000 8.0565
0.0000 0.0000 3.8542
1.5230 1.5230 9.9820
1.5230 1.5230 1.9287
1.5230 1.5230 5.9554
```

Theoretical density   4.11 g/cm³
Energy above the lowest structure with this stoichiometry   0.0 meV per atom
Electronic total energy   -1.820 eV per atom

2.
## MgZn2Ga (GGA-PBE)

Data for a geometry-optimized MgZn2Ga structure.

The structure in POSCAR format:
```
MgZn2Ga
1.0
-3.8514 -0.1566 3.5514
-2.3371 -5.9262 -2.7958
4.6156 -4.0965 4.8249
Mg Zn Ga
4 8 4
Cartesian
-1.9905 -1.6849 0.9076
-3.0919 -6.4950 3.3687
0.4177 -8.4944 4.6729
1.5190 -3.6843 2.2119
-2.5905 -1.3156 3.9543
-2.3062 -6.8567 0.1508
1.9162 -6.5852 2.7012
-0.1652 -5.6010 4.3549
1.0176 -8.8636 1.6263
0.7334 -3.3225 5.4298
-3.4890 -3.5941 2.8794
-1.4077 -4.5782 1.2256
-0.9667 -3.2494 3.3681
-1.6776 -4.8314 -1.3400
-0.6061 -6.9298 2.2124
0.1048 -5.3479 6.9206
```

Theoretical density   5.23 g/cm³
Electronic total energy   -1.847 eV per atom

3.
## MgZn6Ga4 (GGA-PBE)

Data for a geometry-optimized MgZn6Ga4 structure.

The structure in POSCAR format:
```
MgZn6Ga4
1.0
-3.3992 -4.0593 4.3811
5.5839 -1.7237 -3.6159
4.2018 5.1666 1.6960
Mg Zn Ga
1 6 4
Cartesian
0.0000 0.0000 0.0000
6.1345 0.9442 -2.0332
5.6796 3.2123 -0.2846
-0.0122 -1.9251 2.4940
0.4013 0.5537 3.0385
4.3703 0.5951 0.3652
1.0924 -2.8915 0.3826
2.9157 2.7948 0.6368
2.4230 -0.6376 1.4574
3.5785 -0.5099 -1.9109
7.2550 1.1792 0.3580
```

Theoretical density   5.64 g/cm³
Electronic total energy   -1.872 eV per atom

4.
## MgZn3Ga3 (GGA-PBE)

Data for a geometry-optimized MgZn3Ga3 structure.

The structure in POSCAR format:
```
MgZn3Ga3
1.0
-1.6716 -6.6722 -1.5456
1.6535 -1.9370 6.5738
-6.6462 1.1962 2.0242
Zn Mg Ga
6 2 6
Cartesian
-3.7410 -1.0700 0.6257
-0.8348 -0.6695 3.7929
0.4043 -4.7889 4.1575
-4.5768 -4.4060 -0.1471
-4.1579 -0.0714 4.8050
-0.4224 -3.8203 0.8706
-3.3322 -3.7065 3.5262
0.0000 0.0000 0.0000
-2.9098 0.1138 2.6555
-2.0830 -0.8547 5.9424
-5.8205 -2.4389 0.7453
-0.4269 -5.9726 2.1277
-2.4973 -3.0370 -0.2668
0.4088 -2.6366 2.9005
```

Theoretical density   4.07 g/cm³
Energy above the lowest structure with this stoichiometry   276.4 meV per atom
Electronic total energy   -1.683 eV per atom

5.
## Mg4Zn2Ga3 (GGA-PBE)

Data for a geometry-optimized Mg4Zn2Ga3 structure.

The structure in POSCAR format:
```
Mg4Zn2Ga3
1.0
4.1468 0.0000 -1.1434
-0.5179 5.2308 -1.8781
-0.0279 0.2242 7.9905
Mg Zn Ga
4 2 3
Cartesian
0.4725 4.0208 1.7138
3.1286 1.4342 3.2551
1.9260 4.5421 -1.1063
1.6751 0.9129 6.0753
1.2486 3.2489 4.5282
2.3525 2.2062 0.4407
0.5476 1.1224 1.9860
3.0535 4.3326 2.9829
-0.2589 2.6154 -0.9391
```

Theoretical density   4.15 g/cm³
Electronic total energy   -2.066 eV per atom

6.
## MgZn4Ga4 (GGA-PBE)

Data for a geometry-optimized MgZn4Ga4 structure.

The structure in POSCAR format:
```
MgZn4Ga4
1.0
-4.2495 -3.8464 1.9827
3.0743 -0.7278 5.1772
-4.4608 6.7854 3.6028
Mg Zn Ga
2 8 8
Cartesian
0.0000 0.0000 0.0000
-2.8180 1.1056 5.3813
-3.5357 5.1924 6.3820
-6.0047 2.9576 7.5340
0.0273 -2.0753 5.3087
-1.7589 -1.6524 2.3007
0.2290 2.4531 5.2498
-1.0591 2.7580 3.0807
-3.7431 2.6985 2.6021
-5.5236 1.0869 3.4328
-3.2667 2.7680 7.6447
-4.7926 3.1292 5.0751
-2.6610 -1.6920 4.8948
-0.5518 0.2171 3.9107
-2.2662 0.8884 1.4706
-4.4065 -1.0489 2.4692
-2.4863 4.7618 3.9090
-0.9378 4.3952 6.5166
```

Theoretical density   5.74 g/cm³
Energy above the lowest structure with this stoichiometry   42.0 meV per atom
Electronic total energy   -2.045 eV per atom

7.
## Mg12Zn6Ga (GGA-PBE)

Data for a geometry-optimized Mg12Zn6Ga structure.

The structure in POSCAR format:
```
Mg12Zn6Ga
1.0
-0.9892 -6.5487 -4.4057
4.7911 -1.4548 6.1809
-7.0137 2.8247 2.4703
Mg Zn Ga
12 6 1
Cartesian
-1.2561 -4.7062 1.9544
-1.4281 -2.7057 4.2644
-3.7274 -2.9260 2.2562
-1.9558 -0.4725 2.2912
-1.7837 -2.4730 -0.0189
0.5155 -2.2528 1.9893
1.2605 -6.3071 1.8659
2.6051 -1.8642 4.0836
-1.3861 -4.5098 -2.1630
-4.4723 1.1284 2.3797
-5.8170 -3.3145 0.1619
-1.8257 -0.6690 6.4085
0.9537 -4.3728 4.0911
0.7981 -4.1656 -0.1886
0.1867 -0.1570 4.2386
-4.1655 -0.8059 0.1545
-4.0099 -1.0131 4.4341
-3.3986 -5.0217 0.0069
0.0000 0.0000 0.0000
```

Theoretical density   3.41 g/cm³
Energy above the lowest structure with this stoichiometry   0.0 meV per atom
Electronic total energy   -1.605 eV per atom

8.
## Mg5ZnGa (GGA-PBE)

Data for a geometry-optimized Mg5ZnGa structure.

The structure in POSCAR format:
```
Mg5ZnGa
1.0
4.4717 0.0000 0.0000
0.0000 4.4717 0.0000
0.0000 0.0000 7.5433
Mg Zn Ga
5 1 1
Cartesian
2.2359 2.2359 0.0000
2.2359 0.0000 2.1428
0.0000 2.2359 2.1428
2.2359 0.0000 5.4005
0.0000 2.2359 5.4005
0.0000 0.0000 3.7717
0.0000 0.0000 0.0000
```

Theoretical density   2.83 g/cm³
Energy above the lowest structure with this stoichiometry   0.0 meV per atom
Electronic total energy   -1.766 eV per atom

9.
## Mg5ZnGa2 (GGA-PBE)

Data for a geometry-optimized Mg5ZnGa2 structure.

The structure in POSCAR format:
```
Mg5ZnGa2
1.0
5.2093 0.0000 0.0000
-2.6047 5.2759 0.0000
0.0000 0.0000 11.9851
Mg Zn Ga
10 2 4
Cartesian
2.6047 4.4528 10.7267
2.6047 4.4528 7.2510
0.0000 3.8672 5.5588
0.0000 3.8672 0.4338
2.6047 0.5625 2.9963
0.0000 4.7133 8.9888
2.6047 1.4086 6.4263
2.6047 1.4086 11.5513
0.0000 0.8230 1.2584
0.0000 0.8230 4.7341
2.6047 2.3370 8.9888
0.0000 2.9389 2.9963
2.6047 3.2423 4.3050
2.6047 3.2423 1.6876
0.0000 2.0336 7.6801
0.0000 2.0336 10.2975
```

Theoretical density   3.29 g/cm³
Energy above the lowest structure with this stoichiometry   50.5 meV per atom
Electronic total energy   -1.940 eV per atom

10.
## MgZn2Ga (GGA-PBE)

Data for a geometry-optimized MgZn2Ga structure.

The structure in POSCAR format:
```
MgZn2Ga
1.0
7.5201 0.0000 0.0000
0.0000 7.5201 0.0000
3.7601 3.7601 2.7413
Zn Mg Ga
4 2 2
Cartesian
5.8428 1.8800 0.6853
1.6773 5.6401 0.6853
5.6401 5.4373 2.0560
9.4001 9.6029 2.0560
3.7601 3.7601 0.0000
3.7601 7.5201 1.3706
0.0000 0.0000 0.0000
7.5201 3.7601 1.3706
```

Theoretical density   4.82 g/cm³
Electronic total energy   -1.686 eV per atom

11.
## MgZn3Ga3 (GGA-PBE)

Data for a geometry-optimized MgZn3Ga3 structure.

The structure in POSCAR format:
```
MgZn3Ga3
1.0
-0.0852 -2.2311 2.4906
-1.8342 -7.7812 -7.0333
9.9991 2.5537 2.6296
Mg Zn Ga
2 6 6
Cartesian
2.0930 -4.8978 -3.1929
5.9867 -2.5609 1.2799
3.8450 -0.5994 0.7176
6.1786 -3.2612 -1.5870
8.0680 -0.4830 0.9664
4.2347 -6.8592 -2.6306
1.9011 -4.1975 -0.3260
0.0117 -6.9757 -2.8794
8.4197 -2.5607 -0.8829
6.0852 0.6252 1.8912
3.5933 -2.4120 -0.9147
-0.3400 -4.8980 -1.0301
1.9945 -8.0838 -3.8042
4.4864 -5.0467 -0.9983
```

Theoretical density   4.34 g/cm³
Energy above the lowest structure with this stoichiometry   0.0 meV per atom
Electronic total energy   -1.959 eV per atom

12.
## Mg7ZnGa5 (GGA-PBE)

Data for a geometry-optimized Mg7ZnGa5 structure.

The structure in POSCAR format:
```
Mg7ZnGa5
1.0
5.5024 0.0000 0.0000
2.7512 6.9821 0.0303
2.7512 0.0078 6.9822
Mg Zn Ga
7 1 5
Cartesian
5.5024 2.5786 2.5869
5.5024 4.7532 4.7686
2.7512 2.3186 4.6058
2.7512 4.5983 2.3334
2.7512 1.6050 1.6101
5.5024 5.6809 1.0963
5.5024 1.0780 5.6844
5.5024 0.4227 0.4241
6.8861 6.9486 3.4080
4.1186 6.9486 3.4080
6.8861 3.3855 6.9596
4.1186 3.3855 6.9596
8.2535 5.2260 5.2429
```

Theoretical density   3.62 g/cm³
Electronic total energy   -2.164 eV per atom